(1)
## YErNi2 (PBE)

Data for a relaxed structure of YErNi2.

Cell: 3.7555 4.1587 5.4270 Å, 90.00 110.28 90.00°
Atoms (fractional coordinates):
Y 0.7235 0.0000 0.9868
Er 0.4446 0.5000 0.4276
Ni 0.1527 0.5000 0.8446
Ni 0.0102 0.0000 0.5590

D(E_F) (states/eV per cell): 2.6
Formation enthalpy at 0 K (eV per atom): -0.460
Polymorph energy (0 for the lowest one) (eV/atom): 0.000
SG: Amm2 (38)
Calculated total energy (eV for the cell shown): -24.431



(2)
## Y4ErNi2 (PBE)

Data for a relaxed structure of Y4ErNi2.

Cell: 6.3808 7.5134 7.9755 Å, 112.39 90.00 90.00°
Atoms (fractional coordinates):
Y 0.5043 0.4080 0.7698
Y 0.2500 0.2484 0.3427
Y 0.7500 0.7516 0.6573
Y 0.9957 0.4080 0.7698
Y 0.7500 0.0280 0.3868
Y 0.0043 0.5920 0.2302
Y 0.4957 0.5920 0.2302
Y 0.2500 0.9720 0.6132
Er 0.2500 0.8489 0.9698
Er 0.7500 0.1511 0.0302
Ni 0.2500 0.2492 0.9926
Ni 0.7500 0.7508 0.0074
Ni 0.7500 0.3829 0.4099
Ni 0.2500 0.6171 0.5901

D(E_F) (states/eV per cell): 18.6
Formation enthalpy at 0 K (eV per atom): -0.137
SG: P2_1/m (11)
Calculated total energy (eV for the cell shown): -85.875



(3)
## YEr2Ni (PBE)

Data for a relaxed structure of YEr2Ni.

Cell: 6.2904 6.8233 9.5172 Å, 90.00 90.00 90.00°
Atoms (fractional coordinates):
Y 0.6372 0.5309 0.2500
Y 0.8628 0.0309 0.2500
Y 0.3628 0.4691 0.7500
Y 0.1372 0.9691 0.7500
Er 0.1782 0.6782 0.0661
Er 0.3218 0.1782 0.4339
Er 0.8218 0.3218 0.5661
Er 0.6782 0.8218 0.9339
Er 0.8218 0.3218 0.9339
Er 0.6782 0.8218 0.5661
Er 0.1782 0.6782 0.4339
Er 0.3218 0.1782 0.0661
Ni 0.0594 0.3918 0.2500
Ni 0.4406 0.8918 0.2500
Ni 0.9406 0.6082 0.7500
Ni 0.5594 0.1082 0.7500

D(E_F) (states/eV per cell): 18.1
Formation enthalpy at 0 K (eV per atom): -0.260
Polymorph energy (0 for the lowest one) (eV/atom): 0.000
SG: Pnma (62)
Calculated total energy (eV for the cell shown): -89.643



(4)
## Y4Er3Ni2 (PBE)

Data for a relaxed structure of Y4Er3Ni2.

Cell: 3.5893 8.9775 8.4556 Å, 112.87 102.25 90.00°
Atoms (fractional coordinates):
Y 0.2300 0.6533 0.4600
Y 0.7700 0.3467 0.5400
Y 0.6336 0.8936 0.2671
Y 0.3664 0.1064 0.7329
Er 0.0696 0.1893 0.1391
Er 0.9304 0.8107 0.8609
Er 0.0000 0.5000 0.0000
Ni 0.3838 0.5631 0.7677
Ni 0.6162 0.4369 0.2323

D(E_F) (states/eV per cell): 12.3
Formation enthalpy at 0 K (eV per atom): -0.177
SG: C2/m (12)
Calculated total energy (eV for the cell shown): -52.701



(5)
## Y3ErNi8 (PBE)

Data for a relaxed structure of Y3ErNi8.

Cell: 5.0687 5.0687 8.8002 Å, 73.26 73.26 60.00°
Atoms (fractional coordinates):
Y 0.3751 0.3751 0.8746
Y 0.9996 0.9996 0.0012
Y 0.5002 0.5002 0.4993
Er 0.8749 0.8749 0.3752
Ni 0.9371 0.4371 0.1888
Ni 0.4390 0.9373 0.6864
Ni 0.4371 0.4371 0.1888
Ni 0.9373 0.9373 0.6864
Ni 0.1877 0.1877 0.4369
Ni 0.6876 0.6876 0.9373
Ni 0.4371 0.9371 0.1888
Ni 0.9373 0.4390 0.6864

D(E_F) (states/eV per cell): 6.6
Formation enthalpy at 0 K (eV per atom): -0.433
SG: R3m (160)
Calculated total energy (eV for the cell shown): -75.407



(6)
## YEr6Ni3 (PBE)

Data for a relaxed structure of YEr6Ni3.

Cell: 7.0178 8.4156 8.4156 Å, 99.68 90.00 90.00°
Atoms (fractional coordinates):
Y 0.0463 0.3190 0.6810
Y 0.5463 0.6810 0.3190
Er 0.1703 0.7046 0.6300
Er 0.6703 0.6300 0.7046
Er 0.3172 0.5815 0.9641
Er 0.8172 0.9641 0.5815
Er 0.1660 0.0307 0.9693
Er 0.5091 0.2268 0.7732
Er 0.0091 0.7732 0.2268
Er 0.6660 0.9693 0.0307
Er 0.3172 0.0359 0.4185
Er 0.8172 0.4185 0.0359
Er 0.1703 0.3700 0.2954
Er 0.6703 0.2954 0.3700
Ni 0.4544 0.9119 0.6974
Ni 0.9544 0.6974 0.9119
Ni 0.3802 0.4183 0.5817
Ni 0.8802 0.5817 0.4183
Ni 0.9544 0.0881 0.3026
Ni 0.4544 0.3026 0.0881

D(E_F) (states/eV per cell): 19.0
Formation enthalpy at 0 K (eV per atom): -0.252
SG: Cmc2_1 (36)
Calculated total energy (eV for the cell shown): -107.417



(7)
## YErNi (PBE)

Data for a relaxed structure of YErNi.

Cell: 3.9056 5.6652 7.0457 Å, 100.55 106.09 90.00°
Atoms (fractional coordinates):
Er 0.5833 0.2843 0.1665
Er 0.4167 0.7157 0.8335
Ni 0.2312 0.3653 0.4625
Ni 0.7688 0.6347 0.5375
Y 0.8479 0.1838 0.6957
Y 0.1521 0.8162 0.3043

D(E_F) (states/eV per cell): 6.2
Formation enthalpy at 0 K (eV per atom): -0.300
Polymorph energy (0 for the lowest one) (eV/atom): 0.000
SG: C2/m (12)
Calculated total energy (eV for the cell shown): -35.414



(8)
## Y3Er4Ni4 (PBE)

Data for a relaxed structure of Y3Er4Ni4.

Cell: 3.6823 8.6824 9.1688 Å, 118.26 101.58 90.00°
Atoms (fractional coordinates):
Y 0.1015 0.1015 0.2030
Y 0.8985 0.8985 0.7970
Y 0.0000 0.5000 0.0000
Er 0.3343 0.1484 0.6685
Er 0.6657 0.4799 0.3315
Er 0.6657 0.8516 0.3315
Er 0.3343 0.5201 0.6685
Ni 0.2495 0.7495 0.4990
Ni 0.7505 0.2505 0.5010
Ni 0.5000 0.7975 0.0000
Ni 0.5000 0.2025 0.0000

D(E_F) (states/eV per cell): 11.5
Formation enthalpy at 0 K (eV per atom): -0.246
SG: Immm (71)
Calculated total energy (eV for the cell shown): -63.480



(9)
## Y3Er3Ni4 (PBE)

Data for a relaxed structure of Y3Er3Ni4.

Cell: 3.9400 7.4401 7.4401 Å, 89.85 90.00 90.00°
Atoms (fractional coordinates):
Y 0.5000 0.8347 0.1653
Y 0.5000 0.3341 0.3346
Y 0.5000 0.6654 0.6659
Er 0.0000 0.4988 0.9994
Er 0.0000 0.0006 0.5012
Er 0.5000 0.1655 0.8345
Ni 0.0000 0.6242 0.3758
Ni 0.0000 0.3714 0.6286
Ni 0.0000 0.8792 0.8737
Ni 0.0000 0.1263 0.1208

D(E_F) (states/eV per cell): 8.4
Formation enthalpy at 0 K (eV per atom): -0.335
SG: Amm2 (38)
Calculated total energy (eV for the cell shown): -59.554



(10)
## YEr2Ni (PBE)

Data for a relaxed structure of YEr2Ni.

Cell: 3.7862 3.7862 9.0767 Å, 77.96 77.96 60.00°
Atoms (fractional coordinates):
Y 0.5017 0.5017 0.4949
Er 0.0582 0.0582 0.8255
Er 0.2746 0.2746 0.1763
Ni 0.6656 0.6656 0.0033

D(E_F) (states/eV per cell): 5.1
Formation enthalpy at 0 K (eV per atom): -0.117
Polymorph energy (0 for the lowest one) (eV/atom): 0.143
SG: R3m (160)
Calculated total energy (eV for the cell shown): -21.838



(11)
## YErNi (PBE)

Data for a relaxed structure of YErNi.

Cell: 4.7282 4.7282 4.7282 Å, 60.00 60.00 60.00°
Atoms (fractional coordinates):
Y 0.0000 0.0000 0.0000
Ni 0.2500 0.2500 0.2500
Er 0.5000 0.5000 0.5000

D(E_F) (states/eV per cell): 2.9
Formation enthalpy at 0 K (eV per atom): -0.161
Polymorph energy (0 for the lowest one) (eV/atom): 0.139
SG: F-43m (216)
Calculated total energy (eV for the cell shown): -17.290



(12)
## ErZn2Ni8 (PBE)

Data for a relaxed structure of ErZn2Ni8.

Cell: 4.6440 4.6440 8.2333 Å, 90.00 90.00 90.00°
Site moments in Bohr magnetons follow the coordinates.
Atoms (fractional coordinates):
Er 0.5000 0.5000 0.5000  -0.06
Zn 0.5000 0.0000 0.0000  -0.01
Zn 0.0000 0.5000 0.0000  -0.01
Ni 0.7524 0.7524 0.2308  0.23
Ni 0.7524 0.2476 0.7692  0.23
Ni 0.7524 0.7524 0.7692  0.23
Ni 0.7524 0.2476 0.2308  0.23
Ni 0.2476 0.7524 0.2308  0.23
Ni 0.2476 0.7524 0.7692  0.23
Ni 0.2476 0.2476 0.2308  0.23
Ni 0.2476 0.2476 0.7692  0.23

D(E_F) (states/eV per cell): 16.6
Formation enthalpy at 0 K (eV per atom): 0.331
SG: P4/mmm (123)
Calculated total energy (eV for the cell shown): -49.719